1.
# SnPtS2

A relaxed structure of SnPtS2 (PBE, Alexandria via LeMat-Bulk).

## Properties
**Raw formation energy**: -0.076 eV/atom

a = 5.6884 Å, b = 5.6884 Å, c = 7.2538 Å
α = 66.91°, β = 66.91°, γ = 90.00°
Closest atoms and distances in Å follow each position.
Fractional positions:
1 S 0.6756 0.1250 0.2500  2 Pt 2.36
2 S 0.0744 0.6250 0.2500  2 Pt 2.36
3 S 0.3750 0.3244 0.7500  2 Pt 2.36
4 S 0.8750 0.9256 0.7500  2 Pt 2.36
5 Sn 0.5000 0.5000 0.0000  4 S 2.69
6 Sn 0.2500 0.7500 0.5000  4 S 2.69
7 Pt 0.0000 0.0000 0.0000  4 S 2.36
8 Pt 0.7500 0.2500 0.5000  4 S 2.36

2.
# Dy2Hg4Pb

A relaxed structure of Dy2Hg4Pb (PBE, Alexandria via LeMat-Bulk).

## Properties
**Energy relative to the elements**: 0.15 eV per atom

a = 5.6458 Å, b = 5.6458 Å, c = 8.6279 Å
α = 109.10°, β = 109.10°, γ = 90.00°
Closest atoms and distances in Å follow each position.
Fractional positions:
1 Dy 0.6059 0.6059 0.2118  5 Hg 2.97-3.25, 1 Dy 3.24
2 Dy 0.3941 0.3941 0.7882  5 Hg 2.97-3.25, 1 Dy 3.24
3 Hg 0.7998 0.7998 0.5996  1 Dy 2.97, 1 Pb 3.06
4 Hg 0.2002 0.2002 0.4004  1 Dy 2.97, 1 Pb 3.06
5 Hg 0.0000 0.5000 0.0000  2 Pb 2.82
6 Hg 0.5000 0.0000 0.0000  2 Pb 2.82
7 Pb 0.0000 0.0000 0.0000  6 Hg 2.82-3.06

3.
# MgNbCu

A relaxed structure of MgNbCu (PBE, Alexandria via LeMat-Bulk).

## Properties
**Energy relative to the elements**: 0.13 eV per atom

a = 7.4211 Å, b = 5.0241 Å, c = 2.8248 Å
α = 79.28°, β = 79.26°, γ = 88.07°
Closest atoms and distances in Å follow each position.
Fractional positions:
1 Mg 0.6582 0.8209 0.0017  4 Cu 2.68-2.78, 2 Mg 2.82
2 Mg 0.3913 0.3241 0.1262  4 Cu 2.68-2.78, 2 Mg 2.82
3 Nb 0.0246 0.5701 0.5696  4 Nb 2.64-2.82, 2 Cu 2.71
4 Nb 0.0253 0.0699 0.0685  4 Nb 2.64-2.82, 2 Cu 2.71
5 Cu 0.7200 0.3192 0.4659  4 Mg 2.68-2.78, 2 Nb 2.71, 2 Cu 2.82
6 Cu 0.3303 0.8247 0.6579  4 Mg 2.68-2.78, 2 Nb 2.71, 2 Cu 2.82

4.
# NdHoNiHg

A relaxed structure of NdHoNiHg (PBE, Alexandria via LeMat-Bulk).

## Properties
**Energy relative to the elements**: -0.31 eV per atom

a = 5.1246 Å, b = 5.1246 Å, c = 5.1246 Å
α = 60.00°, β = 60.00°, γ = 60.00°
Closest atoms and distances in Å follow each position.
Fractional positions:
1 Ni 0.2500 0.2500 0.2500  4 Ho 3.14, 4 Nd 3.14
2 Nd 0.5000 0.5000 0.5000  4 Ni 3.14, 4 Hg 3.14
3 Hg 0.7500 0.7500 0.7500  4 Nd 3.14, 4 Ho 3.14
4 Ho 0.0000 0.0000 0.0000  4 Hg 3.14, 4 Ni 3.14

5.
# ScCu2Au2

A relaxed structure of ScCu2Au2 (PBE, Alexandria via LeMat-Bulk).

## Properties
**Energy relative to the elements**: -0.31 eV per atom

a = 3.5690 Å, b = 3.5690 Å, c = 7.2446 Å
α = 75.74°, β = 75.74°, γ = 90.00°
Closest atoms and distances in Å follow each position.
Fractional positions:
1 Sc 0.0000 0.0000 0.0000  8 Au 2.90
2 Au 0.3955 0.3955 0.2091  4 Cu 2.66, 1 Au 2.84, 4 Sc 2.90
3 Au 0.6045 0.6045 0.7909  4 Cu 2.66, 1 Au 2.84, 4 Sc 2.90
4 Cu 0.7500 0.2500 0.5000  4 Cu 2.52, 4 Au 2.66
5 Cu 0.2500 0.7500 0.5000  4 Cu 2.52, 4 Au 2.66

6.
# ErMgGa

A relaxed structure of ErMgGa (PBE, Alexandria via LeMat-Bulk).

## Properties
**Energy relative to the elements**: -0.40 eV per atom

a = 4.3952 Å, b = 5.7838 Å, c = 6.3218 Å
α = 73.32°, β = 69.66°, γ = 67.67°
Closest atoms and distances in Å follow each position.
Fractional positions:
1 Er 0.4341 0.3078 0.8240  5 Ga 3.00-3.22
2 Er 0.5659 0.6922 0.1760  5 Ga 3.00-3.22
3 Mg 0.8231 0.7662 0.5875  3 Ga 2.76-2.91
4 Mg 0.1769 0.2338 0.4125  3 Ga 2.76-2.91
5 Ga 0.8517 0.1353 0.1614  1 Ga 2.60, 2 Mg 2.76
6 Ga 0.1483 0.8647 0.8386  1 Ga 2.60, 2 Mg 2.76

7.
# Th6HgSe5

A relaxed structure of Th6HgSe5 (PBE, Alexandria via LeMat-Bulk).

## Properties
**Raw formation energy**: -1.291 eV/atom

a = 7.4128 Å, b = 7.3335 Å, c = 7.3543 Å
α = 60.09°, β = 80.51°, γ = 70.69°
Closest atoms and distances in Å follow each position.
Fractional positions:
1 Se 0.5000 0.1602 0.6796  6 Th 2.98-3.02
2 Se 0.0000 0.3316 0.3368  6 Th 3.00-3.01
3 Se 0.5000 0.5000 0.0000  6 Th 2.95-3.01
4 Se 0.0000 0.6684 0.6632  6 Th 3.00-3.01
5 Se 0.5000 0.8398 0.3204  6 Th 2.98-3.02
6 Hg 0.0000 0.0000 0.0000  6 Th 3.07-3.08
7 Th 0.7445 0.0859 0.3411  5 Se 3.00-3.02, 1 Hg 3.08
8 Th 0.2555 0.5730 0.3411  5 Se 3.00-3.02, 1 Hg 3.08
9 Th 0.2512 0.2584 0.0000  5 Se 2.95-3.01, 1 Hg 3.07
10 Th 0.7488 0.7416 0.0000  5 Se 2.95-3.01, 1 Hg 3.07
11 Th 0.7445 0.4270 0.6589  5 Se 3.00-3.02, 1 Hg 3.08
12 Th 0.2555 0.9141 0.6589  5 Se 3.00-3.02, 1 Hg 3.08

8.
# NaTlSbO3

A relaxed structure of NaTlSbO3 (PBE, Alexandria via LeMat-Bulk).

## Properties
**Raw formation energy**: -1.164 eV/atom

a = 6.1424 Å, b = 6.1105 Å, c = 6.4339 Å
α = 61.65°, β = 89.94°, γ = 89.88°
Closest atoms and distances in Å follow each position.
Fractional positions:
1 Na 0.2500 0.5814 0.8371  5 O 2.30-2.47
2 Na 0.7500 0.4186 0.1629  5 O 2.30-2.47
3 Tl 0.2500 0.2613 0.4774  4 O 3.07-3.11
4 Tl 0.7500 0.7387 0.5226  4 O 3.07-3.11
5 Sb 0.7500 0.0453 0.9094  5 O 1.93-2.11
6 Sb 0.2500 0.9547 0.0906  5 O 1.93-2.11
7 O 0.5002 0.7790 0.9993  2 Sb 2.11
8 O 0.9998 0.2217 0.9993  2 Sb 2.11
9 O 0.7500 0.2157 0.5686  1 Sb 1.93
10 O 0.4998 0.2210 0.0007  2 Sb 2.11
11 O 0.0002 0.7783 0.0007  2 Sb 2.11
12 O 0.2500 0.7843 0.4314  1 Sb 1.93

9.
# BaMgZn2Ga2

A relaxed structure of BaMgZn2Ga2 (PBE, Alexandria via LeMat-Bulk).

## Properties
**Energy relative to the elements**: -0.29 eV per atom

a = 4.4726 Å, b = 4.4726 Å, c = 7.8985 Å
α = 90.00°, β = 90.00°, γ = 120.00°
Closest atoms and distances in Å follow each position.
Fractional positions:
1 Ba 0.0000 0.0000 0.0000  6 Ga 3.50, 6 Zn 3.61
2 Mg 0.0000 0.0000 0.5000  6 Zn 2.95, 6 Ga 3.03
3 Zn 0.6667 0.3333 0.3202  3 Ga 2.59
4 Zn 0.3333 0.6667 0.6798  3 Ga 2.59
5 Ga 0.6667 0.3333 0.7012  3 Zn 2.59
6 Ga 0.3333 0.6667 0.2988  3 Zn 2.59

10.
# NaCa6Ag

A relaxed structure of NaCa6Ag (PBE, Alexandria via LeMat-Bulk).

## Properties
**Energy relative to the elements**: -0.03 eV per atom

a = 5.4700 Å, b = 5.4699 Å, c = 10.3994 Å
α = 74.75°, β = 74.75°, γ = 90.00°
Closest atoms and distances in Å follow each position.
Fractional positions:
1 Na 0.5000 0.5000 0.0000  8 Ca 3.40
2 Ca 0.7488 0.7488 0.5024  12 Ca 3.87-3.94
3 Ca 0.6045 0.1045 0.7909  2 Ag 3.40, 2 Na 3.40
4 Ca 0.1046 0.6045 0.7909  2 Ag 3.40, 2 Na 3.40
5 Ca 0.3955 0.8955 0.2091  2 Ag 3.40, 2 Na 3.40
6 Ca 0.2512 0.2512 0.4976  12 Ca 3.87-3.94
7 Ca 0.8954 0.3955 0.2091  2 Ag 3.40, 2 Na 3.40
8 Ag 0.0000 0.0000 0.0000  8 Ca 3.40

11.
# PrU6S8

A relaxed structure of PrU6S8 (PBE, Alexandria via LeMat-Bulk).

## Properties
**Raw formation energy**: -1.001 eV/atom

a = 7.1362 Å, b = 7.1362 Å, c = 7.1362 Å
α = 86.53°, β = 86.53°, γ = 86.53°
Closest atoms and distances in Å follow each position.
Fractional positions:
1 Pr 0.0000 0.0000 0.0000  6 S 3.01
2 U 0.5132 0.3902 0.7825  2 U 2.55, 4 S 2.69-2.78
3 U 0.3902 0.7825 0.5132  2 U 2.55, 4 S 2.69-2.78
4 U 0.7825 0.5132 0.3902  2 U 2.55, 4 S 2.69-2.78
5 U 0.4868 0.6098 0.2175  2 U 2.55, 4 S 2.69-2.78
6 U 0.6098 0.2175 0.4868  2 U 2.55, 4 S 2.69-2.78
7 U 0.2175 0.4868 0.6098  2 U 2.55, 4 S 2.69-2.78
8 S 0.7061 0.7061 0.7061  3 U 2.72
9 S 0.2939 0.2939 0.2939  3 U 2.72
10 S 0.6565 0.9317 0.2555  3 U 2.69-2.78, 1 Pr 3.01
11 S 0.9317 0.2555 0.6565  3 U 2.69-2.78, 1 Pr 3.01
12 S 0.2555 0.6565 0.9317  3 U 2.69-2.78, 1 Pr 3.01
13 S 0.3435 0.0683 0.7445  3 U 2.69-2.78, 1 Pr 3.01
14 S 0.0683 0.7445 0.3435  3 U 2.69-2.78, 1 Pr 3.01
15 S 0.7445 0.3435 0.0683  3 U 2.69-2.78, 1 Pr 3.01

12.
# RbHfMg2Tl

A relaxed structure of RbHfMg2Tl (PBE, Alexandria via LeMat-Bulk).

## Properties
**Energy relative to the elements**: 1.72 eV per atom

a = 5.7816 Å, b = 5.7455 Å, c = 5.7816 Å
α = 90.00°, β = 90.00°, γ = 90.00°
Closest atoms and distances in Å follow each position.
Fractional positions:
1 Tl 0.5000 0.5000 0.5000  8 Mg 4.08, 4 Hf 4.09
2 Hf 0.0000 0.5000 0.0000  2 Rb 2.87
3 Mg 0.0000 0.0000 0.5000  2 Rb 2.89
4 Mg 0.5000 0.0000 0.0000  2 Rb 2.89
5 Rb 0.0000 0.0000 0.0000  2 Hf 2.87, 4 Mg 2.89

| no. | density (g/cm³) |
| --- | --- |
| 1 | 6.426 |
| 2 | 9.090 |
| 3 | 5.905 |
| 4 | 9.919 |
| 5 | 10.865 |
| 6 | 6.327 |
| 7 | 10.091 |
| 8 | 6.206 |
| 9 | 5.241 |
| 10 | 2.135 |
| 11 | 8.386 |
| 12 | 4.470 |